The following is a PBE-GGA calculation of crystalline AgHgRh2 at its relaxed geometry, from Alexandria via LeMat-Bulk.

Energy relative to the elements in eV per atom: 0.2310
Crystal system: trigonal
Uncorrected energy in eV per atom: -4.2330

POSCAR file:
```
AgHgRh2
1.0
9.437 -1.437 -0.002
9.437 1.437 -0.002
9.219 0.000 2.476
Ag Hg Rh
1 1 2
Direct
0.495 0.495 0.495
0.253 0.253 0.253
0.006 0.006 0.006
0.746 0.746 0.746
```

***

The following is a PBE-GGA calculation of crystalline HfZnSnOs2 at its relaxed geometry, from Alexandria via LeMat-Bulk.

Energy relative to the elements in eV per atom: 1.5926
Crystal system: tetragonal
Uncorrected energy in eV per atom: -5.9454

POSCAR file:
```
HfZnSnOs2
1.0
-0.637 4.515 -1.650
-3.962 0.283 2.304
2.366 1.744 3.857
Hf Zn Os Sn
1 1 2 1
Direct
0.500 0.500 0.500
0.000 0.500 0.000
0.000 0.000 0.500
0.500 0.000 0.000
0.000 0.000 0.000
```

***

The following is a PBE-GGA calculation of crystalline Mg2Ni2Bi at its relaxed geometry, from Alexandria via LeMat-Bulk.

Polymorph energy (0 for the lowest one) in eV/atom: 0.174
Energy relative to the elements in eV per atom: 0.1043
Crystal system: tetragonal
Uncorrected energy in eV per atom: -3.6222

POSCAR file:
```
Mg2Ni2Bi
1.0
3.982 0.000 0.000
0.000 3.982 0.000
1.991 1.991 5.781
Ni Mg Bi
2 2 1
Direct
0.399 0.399 0.202
0.601 0.601 0.798
0.750 0.250 0.500
0.250 0.750 0.500
0.000 0.000 0.000
```